This record from the Alexandria database describes a geometry-optimized NbCdCoRh structure. The functional is PBE.

Unit cell a=4.4489 b=4.4489 c=4.4489 alpha=60.00 beta=60.00 gamma=60.00
Last column: nearest neighbours and their distance in Å.
Sites, in units of the cell vectors:
Co 0.0000 0.0000 0.0000  4 Cd 2.72, 4 Nb 2.72
Rh 0.5000 0.5000 0.5000  4 Cd 2.72, 4 Nb 2.72
Cd 0.7500 0.7500 0.7500  4 Co 2.72, 4 Rh 2.72
Nb 0.2500 0.2500 0.2500  4 Rh 2.72, 4 Co 2.72

E_form = -0.078 eV per atom
crystal system = cubic
symmetry = F-43m (216)



This record from the Alexandria database describes a geometry-optimized Al3TeP structure. The functional is PBE.

Unit cell a=5.2823 b=5.2823 c=5.2823 alpha=90.00 beta=90.00 gamma=90.00
Last column: nearest neighbours and their distance in Å.
Sites, in units of the cell vectors:
Te 0.0000 0.0000 0.0000  6 Al 2.64
P 0.5000 0.5000 0.5000  12 Al 3.74
Al 0.5000 0.0000 0.0000  2 Te 2.64
Al 0.0000 0.0000 0.5000  2 Te 2.64
Al 0.0000 0.5000 0.0000  2 Te 2.64

formation energy from raw total energies = 1144 meV per atom
crystal system = cubic
energy relative to the lowest polymorph listed for this composition = 907 meV per atom
symmetry = Pm-3m (221)



This record from the Alexandria database describes a geometry-optimized LiMgTl2I5 structure. The functional is PBE.

Unit cell a=4.4483 b=10.4034 c=15.1861 alpha=90.00 beta=90.00 gamma=102.34
Last column: nearest neighbours and their distance in Å.
Sites, in units of the cell vectors:
Tl 0.1282 0.2564 0.3086  7 I 3.45-3.76
Li 0.5669 0.1338 0.9426  4 I 2.72-2.79
I 0.6446 0.2892 0.4960  1 Mg 2.92
Tl 0.9034 0.8068 0.1623  6 I 3.50-3.76
I 0.3007 0.6015 0.3939  1 Li 2.79, 2 Mg 3.01
Tl 0.8718 0.7436 0.8086  7 I 3.45-3.76
I 0.7259 0.4518 0.1582  2 Mg 3.01
Mg 0.7864 0.5727 0.5257  6 I 2.92-3.01
I 0.6993 0.3985 0.8939  1 Li 2.79, 2 Mg 3.01
Mg 0.2136 0.4273 0.0257  6 I 2.92-3.01
Li 0.4331 0.8662 0.4426  4 I 2.72-2.79
I 0.0680 0.1360 0.0497  2 Li 2.76, 1 Mg 2.98
I 0.5007 0.0014 0.7871  1 Li 2.72
Tl 0.0966 0.1932 0.6623  6 I 3.50-3.76
I 0.3554 0.7108 0.9960  1 Mg 2.92
I 0.2741 0.5482 0.6582  2 Mg 3.01
I 0.9320 0.8640 0.5497  2 Li 2.76, 1 Mg 2.98
I 0.4993 0.9986 0.2871  1 Li 2.72

formation energy from raw total energies = -892 meV per atom
crystal system = orthorhombic
symmetry = Cmc2_1 (36)



This record from the Alexandria database describes a geometry-optimized ZnIn2GaHg6 structure. The functional is PBE.

Unit cell a=7.5197 b=7.5947 c=7.1791 alpha=61.64 beta=48.57 gamma=58.64
Last column: nearest neighbours and their distance in Å.
Sites, in units of the cell vectors:
Hg 0.9811 0.5777 0.7698  1 Ga 2.89, 1 Zn 2.91
Zn 0.2896 0.2894 0.9725  6 Hg 2.86-3.12, 2 In 2.93-3.11
Ga 0.6753 0.9344 0.5934  5 Hg 2.88-3.00, 1 In 3.07
Hg 0.4183 0.1840 0.3165  1 Zn 2.86, 1 Ga 3.00, 1 In 3.18, 1 Hg 3.19
Hg 0.8680 0.1000 0.7106  2 In 2.97-3.18, 1 Ga 2.98, 1 Zn 3.12, 1 Hg 3.33
In 0.6315 0.4032 0.3837  6 Hg 2.98-3.29, 1 Ga 3.07, 1 Zn 3.11, 1 In 3.33
Hg 0.4079 0.6710 0.7554  1 Zn 2.86, 1 Ga 2.88, 2 Hg 3.07-3.13, 2 In 3.10-3.12
In 0.0523 0.0709 0.9877  1 Zn 2.93, 4 Hg 2.97-3.28, 1 Ga 3.24
Hg 0.9715 0.5926 0.3070  1 Zn 2.95, 1 Ga 2.99, 3 Hg 3.07-3.19, 1 In 3.18
Hg 0.3661 0.8384 0.2186  1 Zn 2.95, 2 In 2.98-3.08, 1 Hg 3.28, 1 Ga 3.31

E_form = 0.050 eV per atom
crystal system = triclinic
symmetry = P1 (1)



This record from the Alexandria database describes a geometry-optimized Rb2ZnGaAs2 structure. The functional is PBE.

Unit cell a=6.5695 b=6.5966 c=9.2056 alpha=111.00 beta=110.91 gamma=90.00
Last column: nearest neighbours and their distance in Å.
Sites, in units of the cell vectors:
Rb 0.0806 0.3311 0.6622  5 As 3.51-3.91, 2 Ga 3.55, 2 Zn 3.55
As 0.8290 0.0852 0.1705  2 Zn 2.67, 2 Ga 2.72
Rb 0.5816 0.8311 0.6622  5 As 3.51-3.91, 2 Ga 3.55, 2 Zn 3.55
Zn 0.5000 0.2500 0.0000  4 As 2.67
Rb 0.4184 0.1689 0.3378  5 As 3.51-3.91, 2 Ga 3.55, 2 Zn 3.55
As 0.1710 0.9148 0.8295  2 Zn 2.67, 2 Ga 2.72
Zn 0.5000 0.7500 0.0000  4 As 2.67
As 0.6585 0.4148 0.8295  2 Zn 2.67, 2 Ga 2.72
As 0.3415 0.5852 0.1705  2 Zn 2.67, 2 Ga 2.72
Ga 0.0000 0.2500 0.0000  4 As 2.72
Ga 0.0000 0.7500 0.0000  4 As 2.72
Rb 0.9194 0.6689 0.3378  5 As 3.51-3.91, 2 Ga 3.55, 2 Zn 3.55

E_form = -0.368 eV per atom
crystal system = orthorhombic
symmetry = Ibam (72)



This record from the Alexandria database describes a geometry-optimized CuHg2Te2S6 structure. The functional is PBE.

Unit cell a=6.6321 b=6.6321 c=6.9579 alpha=96.75 beta=96.75 gamma=119.66
Last column: nearest neighbours and their distance in Å.
Sites, in units of the cell vectors:
S 0.9510 0.6311 0.2704  1 Hg 2.60, 1 Cu 2.61, 2 Te 2.75-2.79
Hg 0.8189 0.1811 0.0000  2 S 2.60
S 0.0490 0.3689 0.7296  1 Hg 2.60, 1 Cu 2.61, 2 Te 2.75-2.79
S 0.3689 0.0490 0.7296  1 Hg 2.60, 1 Cu 2.61, 2 Te 2.75-2.79
Te 0.6632 0.3368 0.5000  6 S 2.63-2.79
S 0.6311 0.9510 0.2704  1 Hg 2.60, 1 Cu 2.61, 2 Te 2.75-2.79
Hg 0.1811 0.8189 0.0000  2 S 2.60
S 0.7443 0.7443 0.6930  1 Cu 2.40, 2 Te 2.63
Cu 0.0000 0.0000 0.5000  6 S 2.40-2.61
S 0.2557 0.2557 0.3070  1 Cu 2.40, 2 Te 2.63
Te 0.3368 0.6632 0.5000  6 S 2.63-2.79

formation energy from raw total energies = 74 meV per atom
crystal system = monoclinic
symmetry = C2/m (12)



This record from the Alexandria database describes a geometry-optimized CeGdMo4 structure. The functional is PBE.

Unit cell a=5.5365 b=5.5365 c=5.5365 alpha=60.00 beta=60.00 gamma=60.00
Last column: nearest neighbours and their distance in Å.
Sites, in units of the cell vectors:
Mo 0.1255 0.6248 0.6248  6 Mo 2.76-2.77
Mo 0.6248 0.6248 0.1255  6 Mo 2.76-2.77
Mo 0.6248 0.1255 0.6248  6 Mo 2.76-2.77
Ce 0.2500 0.2500 0.2500  12 Mo 3.25, 4 Gd 3.39
Mo 0.6248 0.6248 0.6248  6 Mo 2.76-2.77
Gd 0.0000 0.0000 0.0000  12 Mo 3.25, 4 Ce 3.39

E_form = 0.168 eV per atom
crystal system = cubic
symmetry = F-43m (216)



This record from the Alexandria database describes a geometry-optimized TmSc3Rh structure. The functional is PBE.

Unit cell a=6.8802 b=6.8802 c=6.8223 alpha=105.14 beta=114.41 gamma=109.35
Last column: nearest neighbours and their distance in Å.
Sites, in units of the cell vectors:
Rh 0.3670 0.2589 0.6259  3 Sc 2.55-2.59, 1 Tm 2.66
Sc 0.7028 0.4374 0.1402  2 Rh 2.59-2.89
Tm 0.7317 0.0494 0.7811  1 Rh 2.66
Sc 0.2345 0.4756 0.3198  1 Rh 2.55
Sc 0.2972 0.5626 0.8598  2 Rh 2.59-2.89
Sc 0.1558 0.9147 0.6802  1 Rh 2.55
Tm 0.2683 0.9506 0.2189  1 Rh 2.66
Rh 0.6330 0.7411 0.3741  3 Sc 2.55-2.59, 1 Tm 2.66
Sc 0.8442 0.0853 0.3198  1 Rh 2.55
Sc 0.7655 0.5244 0.6802  1 Rh 2.55

E_form = -0.342 eV per atom
crystal system = monoclinic
energy relative to the lowest polymorph listed for this composition = 0 meV per atom
symmetry = C2/m (12)



This record from the Alexandria database describes a geometry-optimized ZnPdCl5 structure. The functional is PBE.

Unit cell a=6.3719 b=6.3719 c=9.6776 alpha=102.80 beta=112.03 gamma=95.39
Last column: nearest neighbours and their distance in Å.
Sites, in units of the cell vectors:
Cl 0.9858 0.2358 0.2500  1 Zn 2.46, 2 Pd 2.59
Cl 0.2582 0.7974 0.5127  1 Pd 2.34, 1 Zn 2.40
Cl 0.2847 0.2454 0.9873  1 Pd 2.34, 1 Zn 2.40
Zn 0.6989 0.9489 0.2500  5 Cl 2.40-2.46
Pd 0.0000 0.5000 0.5000  6 Cl 2.34-2.59
Zn 0.3011 0.0511 0.7500  5 Cl 2.40-2.46
Cl 0.6845 0.6312 0.3490  1 Pd 2.35, 1 Zn 2.43
Cl 0.3155 0.3688 0.6510  1 Pd 2.35, 1 Zn 2.43
Cl 0.7153 0.7546 0.0127  1 Pd 2.34, 1 Zn 2.40
Cl 0.7418 0.2026 0.4873  1 Pd 2.34, 1 Zn 2.40
Cl 0.0142 0.7642 0.7500  1 Zn 2.46, 2 Pd 2.59
Cl 0.7179 0.1645 0.8490  1 Pd 2.35, 1 Zn 2.43
Pd 0.0000 0.0000 0.0000  6 Cl 2.34-2.59
Cl 0.2821 0.8355 0.1510  1 Pd 2.35, 1 Zn 2.43

formation energy from raw total energies = -668 meV per atom
crystal system = monoclinic
symmetry = C2/c (15)



This record from the Alexandria database describes a geometry-optimized BeZnPt2 structure. The functional is PBE.

Unit cell a=8.1437 b=8.1437 c=8.1437 alpha=19.89 beta=19.89 gamma=19.89
Last column: nearest neighbours and their distance in Å.
Sites, in units of the cell vectors:
Zn 0.2500 0.2500 0.2500  6 Pt 2.77, 6 Zn 2.81
Be 0.7500 0.7500 0.7500  6 Pt 2.38
Pt 0.4896 0.4896 0.4896  3 Be 2.38
Pt 0.0104 0.0104 0.0104  3 Be 2.38

E_form = -0.474 eV per atom
crystal system = trigonal
energy relative to the lowest polymorph listed for this composition = 204 meV per atom
symmetry = R-3m (166)



This record from the Alexandria database describes a geometry-optimized BaCaLa2V structure. The functional is PBE.

Unit cell a=5.8978 b=6.2070 c=5.8978 alpha=90.00 beta=90.00 gamma=90.00
Last column: nearest neighbours and their distance in Å.
Sites, in units of the cell vectors:
V 0.5000 0.5000 0.5000  4 Ba 4.17, 8 La 4.28
La 0.5000 0.0000 0.0000  2 Ca 2.95
Ca 0.0000 0.0000 0.0000  4 La 2.95, 2 Ba 3.10
Ba 0.0000 0.5000 0.0000  2 Ca 3.10
La 0.0000 0.0000 0.5000  2 Ca 2.95

E_form = 1.316 eV per atom
crystal system = tetragonal
symmetry = P4/mmm (123)



This record from the Alexandria database describes a geometry-optimized ZnNiOs2 structure. The functional is PBE.

Unit cell a=4.5298 b=4.5298 c=4.5298 alpha=129.85 beta=129.85 gamma=73.65
Last column: nearest neighbours and their distance in Å.
Sites, in units of the cell vectors:
Ni 0.7500 0.2500 0.5000  4 Zn 2.64, 8 Os 2.64-2.72
Os 0.2500 0.7500 0.5000  4 Os 2.64, 4 Zn 2.64, 4 Ni 2.72
Os 0.0000 0.0000 0.0000  4 Os 2.64, 4 Ni 2.64, 4 Zn 2.72
Zn 0.5000 0.5000 0.0000  4 Ni 2.64, 8 Os 2.64-2.72

E_form = 0.187 eV per atom
crystal system = tetragonal
symmetry = I-4m2 (119)



Number 1: DOS at the Fermi energy 2.6 states/eV per cell. Number 2: DOS at the Fermi energy 3.7 states/eV per cell. Number 3: DOS at the Fermi energy 0.0 states/eV per cell. Number 4: DOS at the Fermi energy 1.6 states/eV per cell. Number 5: DOS at the Fermi energy 2.3 states/eV per cell. Number 6: DOS at the Fermi energy 4.1 states/eV per cell. Number 7: DOS at the Fermi energy 6.7 states/eV per cell. Number 8: DOS at the Fermi energy 15.5 states/eV per cell. Number 9: DOS at the Fermi energy 1.4 states/eV per cell. Number 10: DOS at the Fermi energy 2.8 states/eV per cell. Number 11: DOS at the Fermi energy 12.1 states/eV per cell. Number 12: DOS at the Fermi energy 3.7 states/eV per cell.